(1)
SmTlTe2 | SCAN | single point on PBEsol structure

Output
Calculated volume = 33.8 A^3/atom
Raw formation energy = -1170 meV per atom
ρ = 7.49 g/cm³

Cell lengths 8.398, 8.398, 8.398 Å; angles 30.50, 30.50, 30.50 degrees
Positions (direct):
Sm 0.000 0.000 0.000
Tl 0.500 0.500 0.500
Te 0.259 0.259 0.259
Te 0.741 0.741 0.741



(2)
SmTl3 | SCAN | single point on PBEsol structure

Output
Calculated volume = 25.8 A^3/atom
E_form = -411 meV/atom
ρ = 12.27 g/cm³

Cell lengths 4.693, 4.693, 4.693 Å; angles 90.00, 90.00, 90.00 degrees
Positions (direct):
Sm 0.000 0.000 0.000
Tl 0.000 0.500 0.500
Tl 0.500 0.000 0.500
Tl 0.500 0.500 0.000



(3)
SmYTl2 | SCAN | single point on PBEsol structure

Output
Calculated volume = 26.6 A^3/atom
E_form = -596 meV/atom
ρ = 10.12 g/cm³

Cell lengths 5.317, 5.317, 5.317 Å; angles 60.00, 60.00, 60.00 degrees
Positions (direct):
Sm 0.000 0.000 0.000
Y 0.500 0.500 0.500
Tl 0.250 0.250 0.250
Tl 0.750 0.750 0.750



(4)
Sm3Tm | SCAN | single point on PBEsol structure

Output
Calculated volume = 30.6 A^3/atom
E_form = 16 meV/atom
Energy relative to the lowest polymorph listed for this composition = 1.1 meV/atom
ρ = 8.41 g/cm³

Cell lengths 6.075, 6.075, 6.075 Å; angles 131.69, 131.69, 70.72 degrees
Positions (direct):
Sm 0.000 0.000 0.000
Sm 0.250 0.750 0.500
Sm 0.750 0.250 0.500
Tm 0.500 0.500 0.000



(5)
Sm3Tm | SCAN | single point on PBEsol structure

Output
Calculated volume = 31.0 A^3/atom
E_form = 19 meV/atom
Energy relative to the lowest polymorph listed for this composition = 3.8 meV/atom
ρ = 8.31 g/cm³

Cell lengths 7.117, 7.117, 5.648 Å; angles 90.00, 90.00, 120.00 degrees
Positions (direct):
Sm 0.167 0.334 0.250
Sm 0.167 0.833 0.250
Sm 0.334 0.167 0.750
Sm 0.666 0.833 0.250
Sm 0.833 0.167 0.750
Sm 0.833 0.666 0.750
Tm 0.333 0.667 0.750
Tm 0.667 0.333 0.250



(6)
Sm3Tm | SCAN | single point on PBEsol structure

Output
Calculated volume = 30.6 A^3/atom
E_form = 15 meV/atom
Energy relative to the lowest polymorph listed for this composition = 0.0 meV/atom
ρ = 8.41 g/cm³

Cell lengths 4.964, 4.964, 4.964 Å; angles 90.00, 90.00, 90.00 degrees
Positions (direct):
Sm 0.000 0.000 0.500
Sm 0.000 0.500 0.000
Sm 0.500 0.000 0.000
Tm 0.500 0.500 0.500



Question: What is the formula in the sixth record?
Answer: Sm3Tm



Question: calculated volume of number 2 (SmTl3)?
Answer: 25.8 A^3/atom



Question: calculated volume of number 6 (Sm3Tm)?
Answer: 30.6 A^3/atom



Question: Number 3 is which compound?
Answer: SmYTl2